Entry 1:
ScBeZnSn2 | PBE-GGA | relaxed

abc: 5.2377 4.1703 5.2377
angles: 90.00 90.00 90.00
Last column: nearest neighbours and their distance in Å.
Atoms (fractional coordinates):
Sc1 0.5000 0.5000 0.5000  8 Sn 3.35, 4 Be 3.70
Be1 0.0000 0.5000 0.0000  2 Zn 2.09
Zn1 0.0000 0.0000 0.0000  2 Be 2.09
Sn1 0.0000 0.0000 0.5000  2 Zn 2.62
Sn2 0.5000 0.0000 0.0000  2 Zn 2.62

---

Entry 2:
Be2NiOs2 | PBE-GGA | relaxed

abc: 5.5330 5.5330 3.4961
angles: 90.00 90.00 90.00
Last column: nearest neighbours and their distance in Å.
Atoms (fractional coordinates):
Ni1 0.0000 0.0000 0.0000  4 Be 2.18
Ni2 0.5000 0.5000 0.0000  4 Be 2.18
Os1 0.1796 0.6796 0.5000  6 Be 2.31-2.46
Os2 0.6796 0.8204 0.5000  6 Be 2.31-2.46
Os3 0.8204 0.3204 0.5000  6 Be 2.31-2.46
Os4 0.3204 0.1796 0.5000  6 Be 2.31-2.46
Be1 0.3721 0.8721 0.0000  1 Be 2.00, 2 Ni 2.18
Be2 0.8721 0.6279 0.0000  1 Be 2.00, 2 Ni 2.18
Be3 0.6279 0.1279 0.0000  1 Be 2.00, 2 Ni 2.18
Be4 0.1279 0.3721 0.0000  1 Be 2.00, 2 Ni 2.18

---

Entry 3:
NiW2Se | PBE-GGA | relaxed

abc: 4.6717 4.6717 4.5400
angles: 83.62 83.62 38.69
Last column: nearest neighbours and their distance in Å.
Atoms (fractional coordinates):
Ni1 0.7500 0.7500 0.7500  6 W 2.64-2.72, 4 Se 2.75
Se1 0.2500 0.2500 0.2500  2 W 2.56, 4 Ni 2.75
W1 0.0115 0.0115 0.9791  1 Se 2.56, 2 W 2.62, 3 Ni 2.64-2.72
W2 0.4885 0.4885 0.5209  1 Se 2.56, 2 W 2.62, 3 Ni 2.64-2.72

Computed properties:
Raw formation energy ... 0.407 eV/atom

---

Entry 4:
HfCd2 | PBE-GGA | relaxed

abc: 5.6483 5.6483 5.6483
angles: 60.00 60.00 60.00
Last column: nearest neighbours and their distance in Å.
Atoms (fractional coordinates):
Hf1 0.0000 0.0000 0.0000  12 Cd 3.31, 4 Hf 3.46
Hf2 0.2500 0.2500 0.2500  12 Cd 3.31, 4 Hf 3.46
Cd1 0.1250 0.6250 0.6250  6 Cd 2.82
Cd2 0.6250 0.1250 0.6250  6 Cd 2.82
Cd3 0.6250 0.6250 0.6250  6 Cd 2.82
Cd4 0.6250 0.6250 0.1250  6 Cd 2.82

---

Entry 5:
CePu2Al | PBE-GGA | relaxed

abc: 5.1296 5.1296 5.1296
angles: 60.00 60.00 60.00
Last column: nearest neighbours and their distance in Å.
Atoms (fractional coordinates):
Al1 0.5000 0.5000 0.5000  8 Pu 3.14
Ce1 0.0000 0.0000 0.0000  8 Pu 3.14
Pu1 0.2500 0.2500 0.2500  4 Ce 3.14, 4 Al 3.14
Pu2 0.7500 0.7500 0.7500  4 Al 3.14, 4 Ce 3.14

---

Entry 6:
MoSeCl | PBE-GGA | relaxed

abc: 3.3123 8.1561 7.9035
angles: 43.62 77.90 78.28
Last column: nearest neighbours and their distance in Å.
Atoms (fractional coordinates):
Mo1 0.2559 0.8073 0.6808  3 Se 2.48-2.51, 3 Cl 2.62
Mo2 0.7441 0.1927 0.3192  3 Se 2.48-2.51, 3 Cl 2.62
Se1 0.8769 0.8136 0.4326  3 Mo 2.48-2.51
Se2 0.1231 0.1864 0.5674  3 Mo 2.48-2.51
Cl1 0.3428 0.3456 0.9687  3 Mo 2.62
Cl2 0.6572 0.6544 0.0313  3 Mo 2.62

Computed properties:
Raw formation energy ... -0.709 eV/atom

---

Entry 7:
Pm2ScHg | PBE-GGA | relaxed

abc: 3.6058 3.6058 10.7004
angles: 80.30 80.30 60.00
Last column: nearest neighbours and their distance in Å.
Atoms (fractional coordinates):
Pm1 0.0810 0.0810 0.7570  3 Hg 3.29, 3 Sc 3.40, 6 Pm 3.61
Pm2 0.2525 0.2525 0.2426  3 Hg 3.29, 3 Sc 3.41, 6 Pm 3.61
Sc1 0.4998 0.4998 0.5006  6 Pm 3.40-3.41, 6 Sc 3.61
Hg1 0.6667 0.6667 0.9998  6 Pm 3.29, 6 Hg 3.61

---

Entry 8:
Rb2AlHRu | PBE-GGA | relaxed

abc: 6.3114 3.5134 6.3114
angles: 90.00 90.00 90.00
Last column: nearest neighbours and their distance in Å.
Atoms (fractional coordinates):
Ru1 0.0000 0.5000 0.0000  2 H 1.76
Al1 0.5000 0.5000 0.5000  2 Al 3.51, 8 Rb 3.61
Rb1 0.0000 0.0000 0.5000  2 H 3.16, 2 Rb 3.51
Rb2 0.5000 0.0000 0.0000  2 H 3.16, 2 Rb 3.51
H1 0.0000 0.0000 0.0000  2 Ru 1.76

---

Entry 9:
SmTc2C | PBE-GGA | relaxed

abc: 4.9017 4.9017 4.9590
angles: 60.38 60.38 60.00
Last column: nearest neighbours and their distance in Å.
Atoms (fractional coordinates):
C1 0.0000 0.0000 0.0000  2 Tc 1.84
Tc1 0.1507 0.1507 0.5480  1 C 1.84
Tc2 0.8493 0.8493 0.4520  1 C 1.84
Sm1 0.5000 0.5000 0.5000  6 Tc 2.84

---

Entry 10:
SrAgPd | PBE-GGA | relaxed

abc: 4.5697 5.8195 5.8504
angles: 90.00 90.00 113.12
Last column: nearest neighbours and their distance in Å.
Atoms (fractional coordinates):
Sr1 0.2003 0.4006 0.7500  5 Pd 3.04-3.25
Sr2 0.7997 0.5994 0.2500  5 Pd 3.04-3.25
Ag1 0.5000 0.0000 0.5000  4 Pd 2.86, 2 Ag 2.93
Ag2 0.5000 0.0000 0.0000  4 Pd 2.86, 2 Ag 2.93
Pd1 0.0834 0.1668 0.2500  4 Ag 2.86, 3 Sr 3.04-3.18
Pd2 0.9166 0.8332 0.7500  4 Ag 2.86, 3 Sr 3.04-3.18

---

Entry 11:
CsNaTiCu2 | PBE-GGA | relaxed

abc: 4.9232 5.3208 4.9232
angles: 90.00 90.00 90.00
Last column: nearest neighbours and their distance in Å.
Atoms (fractional coordinates):
Cs1 0.0000 0.5000 0.0000  2 Na 2.66
Na1 0.0000 0.0000 0.0000  4 Cu 2.46, 2 Cs 2.66
Cu1 0.0000 0.0000 0.5000  2 Na 2.46
Cu2 0.5000 0.0000 0.0000  2 Na 2.46
Ti1 0.5000 0.5000 0.5000  4 Cs 3.48, 8 Cu 3.62

---

Entry 12:
PmGd2Ag | PBE-GGA | relaxed

abc: 3.7143 5.5216 5.5216
angles: 90.00 90.00 90.00
Last column: nearest neighbours and their distance in Å.
Atoms (fractional coordinates):
Gd1 0.0000 0.0000 0.5000  4 Pm 3.33, 4 Ag 3.33, 2 Gd 3.71
Gd2 0.0000 0.5000 0.0000  4 Pm 3.33, 4 Ag 3.33, 2 Gd 3.71
Ag1 0.5000 0.0000 0.0000  8 Gd 3.33, 2 Ag 3.71
Pm1 0.5000 0.5000 0.5000  8 Gd 3.33, 2 Pm 3.71

---

no.,V (A^3/atom),total energy (Ha/atom)
1,22.88,-0.1281
2,10.70,-0.2679
3,15.38,-0.3082
4,21.24,-0.1396
5,23.86,-0.3538
6,23.93,-0.2240
7,29.55,-0.1520
8,27.99,-0.1039
9,21.18,-0.2861
10,23.85,-0.1353
11,25.79,-0.0779
12,28.31,-0.3288